1.
4
Lattice="4.4787 0.0000 0.0000 0.0000 4.4680 0.2840 0.0000 -0.4004 6.3129" Properties=species:S:1:pos:R:3 comment="PBE-GGA SmYBiSb, optimized geometry" mass_density_g_cm3=7.46 raw_formation_energy_ev_per_atom=-1.033 magmom_total_mub_per_cell=0.0 pbc="T T T"
Sm 0.0000 3.9458 0.8357
Y 2.2393 1.5125 3.8521
Bi 2.2393 1.7119 0.6957
Sb 0.0000 3.7465 3.9924

2.
10
Lattice="-5.5074 1.6042 6.7018 -4.7205 -7.1283 -2.1730 2.2754 -2.2403 2.4061" Properties=species:S:1:pos:R:3 comment="PBE-GGA Sn2Bi2Sb, optimized geometry" mass_density_g_cm3=8.30 raw_formation_energy_ev_per_atom=0.183 magmom_total_mub_per_cell=0.0 relative_energy_ev_per_atom=0.028 pbc="T T T"
Sb 0.0000 0.0000 0.0000
Sb -5.1140 -2.7621 2.2644
Bi -5.8566 -5.4526 0.4617
Bi -7.7432 -3.3411 4.2117
Bi -4.3713 -0.0716 4.0671
Bi -2.4847 -2.1831 0.3171
Sn -2.6726 -5.4675 0.7586
Sn -6.4481 -6.2084 3.6391
Sn -5.2799 -2.2970 6.1763
Sn -1.5044 -1.5561 3.2958

3.
5
Lattice="4.3684 0.0000 0.0000 0.0000 4.3684 0.0000 2.1842 2.1842 8.5192" Properties=species:S:1:pos:R:3 comment="PBE-GGA Sn2Bi2Sb, optimized geometry" mass_density_g_cm3=7.94 raw_formation_energy_ev_per_atom=0.224 magmom_total_mub_per_cell=0.0 relative_energy_ev_per_atom=0.068 pbc="T T T"
Sb 0.0000 0.0000 0.0000
Bi 4.3684 2.1842 4.2596
Bi 2.1842 4.3684 4.2596
Sn 2.1842 2.1842 1.5176
Sn 4.3684 4.3684 7.0016

4.
6
Lattice="-3.7667 3.4468 1.1716 1.7283 -3.3335 3.6527 6.4773 6.1977 2.5913" Properties=species:S:1:pos:R:3 comment="PBE-GGA Sn2BiSb3, optimized geometry" mass_density_g_cm3=6.08 raw_formation_energy_ev_per_atom=0.127 magmom_total_mub_per_cell=0.0 pbc="T T T"
Sn 6.3736 6.0984 2.5498
Sn -0.0662 2.9749 2.7462
Bi 3.9788 2.8326 4.4588
Sb 1.9021 1.8200 0.7609
Sb 1.9829 4.9356 3.5660
Sb 6.0419 4.8066 5.2841

5.
10
Lattice="-2.4619 3.2758 -1.6307 -2.3153 0.1275 3.7516 12.3746 8.6950 4.7489" Properties=species:S:1:pos:R:3 comment="PBE-GGA Sn4BiSb5, optimized geometry" mass_density_g_cm3=7.10 raw_formation_energy_ev_per_atom=0.025 magmom_total_mub_per_cell=0.0 pbc="T T T"
Sn 7.9903 8.3189 4.6484
Sn 3.5884 7.9245 4.5376
Sn 4.0090 4.1739 2.3323
Sn -0.3929 3.7794 2.2215
Bi 0.0000 0.0000 0.0000
Sb 2.0345 2.1182 1.1836
Sb -2.3886 1.7017 1.0605
Sb 5.5629 9.9801 5.6863
Sb 6.0003 6.2470 3.4907
Sb 1.5971 5.8513 3.3792

6.
8
Lattice="6.2358 0.0000 0.0000 0.0000 6.2358 0.0000 0.0000 0.0000 6.2358" Properties=species:S:1:pos:R:3 comment="PBE-GGA Sn4BiSb3, optimized geometry" mass_density_g_cm3=7.18 raw_formation_energy_ev_per_atom=0.044 magmom_total_mub_per_cell=0.0 pbc="T T T"
Sb 0.0000 3.1179 3.1179
Sb 3.1179 0.0000 3.1179
Sb 3.1179 3.1179 0.0000
Sn 3.1179 0.0000 0.0000
Sn 0.0000 3.1179 0.0000
Sn 0.0000 0.0000 3.1179
Sn 3.1179 3.1179 3.1179
Bi 0.0000 0.0000 0.0000

7.
5
Lattice="-4.0364 0.6467 -1.2806 -0.5966 -4.2342 -0.2575 -4.9128 -1.9217 7.3497" Properties=species:S:1:pos:R:3 comment="PBE-GGA Sn2Bi2Sb, optimized geometry" mass_density_g_cm3=8.25 raw_formation_energy_ev_per_atom=0.156 magmom_total_mub_per_cell=0.0 relative_energy_ev_per_atom=0.000 pbc="T T T"
Sb 0.0000 0.0000 0.0000
Bi -2.8109 -1.8181 0.7770
Bi -6.7349 -3.6911 5.0346
Sn -5.6329 -1.5344 2.6501
Sn -3.9130 -3.9749 3.1616

8.
10
Lattice="-1.9432 8.0814 2.0396 -7.9042 -1.1223 -3.0836 -1.2794 -1.2502 3.7345" Properties=species:S:1:pos:R:3 comment="PBE-GGA Sn2Bi2Sb, optimized geometry" mass_density_g_cm3=8.51 raw_formation_energy_ev_per_atom=0.214 magmom_total_mub_per_cell=0.0 relative_energy_ev_per_atom=0.058 pbc="T T T"
Sb 0.0000 0.0000 0.0000
Sb -4.9237 3.4795 -0.5220
Bi -6.0593 -0.1492 0.1699
Bi -8.6272 3.6648 0.5669
Bi -5.0675 5.8581 2.5207
Bi -2.4996 2.0440 2.1236
Sn -7.3748 1.8576 -1.9047
Sn -6.8040 6.1173 -0.2831
Sn -2.4727 5.1015 0.8607
Sn -3.0435 0.8418 -0.7609

9.
14
Lattice="9.8349 1.7178 2.2656 6.5214 9.9112 1.8336 5.1834 4.5631 6.4209" Properties=species:S:1:pos:R:3 comment="PBE-GGA Sn3Bi3Sb, optimized geometry" mass_density_g_cm3=8.36 raw_formation_energy_ev_per_atom=0.047 magmom_total_mub_per_cell=0.0 pbc="T T T"
Sn 7.4466 6.6342 3.1060
Sn 3.2036 2.3990 0.9636
Sn 13.4527 11.5819 5.1086
Sn 8.0870 4.6102 5.4115
Sn 18.3362 13.7932 9.5565
Sn 14.0931 9.5580 7.4141
Bi 11.7049 13.1703 7.2248
Bi 11.2478 5.8210 5.2579
Bi 17.1018 10.7240 7.4658
Bi 4.4379 5.4682 3.0543
Bi 10.2919 10.3711 5.2622
Bi 9.8349 3.0219 3.2953
Sb 10.3291 8.0051 3.0656
Sb 11.2106 8.1870 7.4545

10.
5
Lattice="-3.5078 -2.0215 -4.0680 -1.2364 -4.3850 3.2451 -4.3618 2.9342 2.3031" Properties=species:S:1:pos:R:3 comment="PBE-GGA TcSnBi2Sb, optimized geometry" mass_density_g_cm3=6.82 raw_formation_energy_ev_per_atom=1.516 magmom_total_mub_per_cell=3.5 pbc="T T T"
Tc -4.5530 -1.7361 0.7401
Sb -0.6182 -2.1925 1.6226
Bi -2.1809 1.4671 1.1515
Bi -1.7539 -1.0107 -2.0340
Sn 0.0000 0.0000 0.0000

11.
5
Lattice="-5.5297 1.3531 0.9537 0.8966 -0.3472 5.6916 1.4361 5.7801 0.1264" Properties=species:S:1:pos:R:3 comment="PBE-GGA SnBiSb2Te, optimized geometry" mass_density_g_cm3=5.85 raw_formation_energy_ev_per_atom=0.757 magmom_total_mub_per_cell=0.0 relative_energy_ev_per_atom=0.111 pbc="T T T"
Sb 0.4483 -0.1736 2.8458
Sb -2.7649 0.6765 0.4768
Te 0.7181 2.8901 0.0632
Bi 0.0000 0.0000 0.0000
Sn -1.5985 3.3930 3.3858

12.
5
Lattice="5.6515 0.0000 0.0000 0.0000 5.6515 0.0000 0.0000 0.0000 5.5967" Properties=species:S:1:pos:R:3 comment="PBE-GGA SnBiSb2Te, optimized geometry" mass_density_g_cm3=6.49 raw_formation_energy_ev_per_atom=0.646 magmom_total_mub_per_cell=0.0 relative_energy_ev_per_atom=0.000 pbc="T T T"
Sb 0.0000 2.8257 0.0000
Sb 2.8257 0.0000 0.0000
Te 0.0000 0.0000 2.7983
Bi 2.8257 2.8257 2.7983
Sn 0.0000 0.0000 0.0000

13.
5
Lattice="-3.6545 -0.2286 4.5313 0.0810 -5.2456 -0.1992 4.5362 -0.0687 3.6549" Properties=species:S:1:pos:R:3 comment="PBE-GGA TiSn2BiSb, optimized geometry" mass_density_g_cm3=5.74 raw_formation_energy_ev_per_atom=0.941 magmom_total_mub_per_cell=0.0 pbc="T T T"
Sb 0.4814 -2.7714 3.9935
Ti 0.0405 -2.6228 -0.0996
Bi 0.0000 0.0000 0.0000
Sn 2.2681 -0.0344 1.8275
Sn -1.8272 -0.1143 2.2656

14.
4
Lattice="-5.0714 -1.6940 -1.2202 -3.4781 -1.3585 4.0168 -4.3045 3.2140 1.1037" Properties=species:S:1:pos:R:3 comment="PBE-GGA TlSnBiSb, optimized geometry" mass_density_g_cm3=9.31 raw_formation_energy_ev_per_atom=0.102 magmom_total_mub_per_cell=0.0 pbc="T T T"
Sb -3.2135 0.0404 0.9751
Tl 0.0000 0.0000 0.0000
Bi -9.6405 0.1211 2.9252
Sn -6.4270 0.0808 1.9502

15.
10
Lattice="-0.4596 -1.8033 4.0139 6.2612 -5.3558 -1.6893 0.9807 9.9091 4.5640" Properties=species:S:1:pos:R:3 comment="PBE-GGA TlSn2BiSb, optimized geometry" mass_density_g_cm3=7.82 raw_formation_energy_ev_per_atom=0.027 magmom_total_mub_per_cell=0.0 pbc="T T T"
Tl 5.7529 -2.0116 0.9741
Tl 1.0294 4.7617 5.9145
Sn 4.4997 2.0390 5.0887
Sn 2.2827 0.7110 1.7999
Sn 2.3432 -3.0900 2.5375
Sn 4.4392 5.8401 4.3511
Bi 1.3556 8.3524 5.1267
Bi 5.4268 -5.6024 1.7619
Sb 2.8268 3.6016 3.1609
Sb 3.9555 -0.8516 3.7277

16.
10
Lattice="4.3213 0.0000 0.0000 0.0000 5.1617 0.0000 -2.1607 0.0000 14.1391" Properties=species:S:1:pos:R:3 comment="PBE-GGA SrBi2Sb2, optimized geometry" mass_density_g_cm3=7.89 raw_formation_energy_ev_per_atom=-0.309 magmom_total_mub_per_cell=0.0 relative_energy_ev_per_atom=0.000 pbc="T T T"
Sr 0.0000 1.2904 9.7092
Sr 2.1607 3.8712 4.4299
Bi 0.0000 3.8712 1.1085
Bi 0.0000 3.8712 12.3511
Bi 2.1607 1.2904 13.0306
Bi 2.1607 1.2904 1.7881
Sb 2.1607 1.2904 6.8690
Sb 0.0000 3.8712 7.2701
Sb 2.1607 3.8712 9.9582
Sb 0.0000 1.2904 4.1810

17.
13
Lattice="-0.2668 2.9209 4.8705 -11.5124 -0.8287 -0.1336 6.2058 -6.5155 4.2474" Properties=species:S:1:pos:R:3 comment="PBE-GGA Sr8Bi3Sb2, optimized geometry" mass_density_g_cm3=4.91 raw_formation_energy_ev_per_atom=-0.837 magmom_total_mub_per_cell=0.0 pbc="T T T"
Sr -5.6397 -2.1939 1.0068
Sr 0.0663 -2.2294 7.9775
Sr -0.1606 1.2773 5.8621
Sr -5.4128 -5.7005 3.1222
Sr -2.7866 -3.9698 5.5466
Sr 3.1965 -3.5376 5.6151
Sr -8.7699 -0.8857 3.3692
Sr -2.7868 -0.4534 3.4377
Bi -0.1334 1.4605 2.4353
Bi 3.0673 -6.7401 4.2102
Bi -8.3739 -0.6041 -0.0964
Sb 0.1013 -2.1696 4.6252
Sb -5.6747 -2.2536 4.3592

18.
20
Lattice="9.1351 0.0000 1.6550 0.0000 9.0274 -0.0001 -0.1724 0.0001 9.7194" Properties=species:S:1:pos:R:3 comment="PBE-GGA Sr3BiSb, optimized geometry" mass_density_g_cm3=4.90 raw_formation_energy_ev_per_atom=-0.936 magmom_total_mub_per_cell=0.0 relative_energy_ev_per_atom=0.000 pbc="T T T"
Sr 3.6059 0.9955 8.2178
Sr 5.3568 8.0320 3.1566
Sr 0.7892 5.5092 2.3291
Sr 8.1735 3.5183 9.0452
Sr 4.5542 6.3225 9.3753
Sr 4.4085 2.7050 1.9991
Sr 8.9761 1.8087 2.8266
Sr -0.0134 7.2188 8.5478
Sr 7.0299 0.1037 6.7482
Sr 1.9328 8.9238 4.6262
Sr 6.5004 4.6174 5.4537
Sr 2.4623 4.4101 5.9206
Bi 6.5633 0.6169 10.1105
Bi 2.3994 8.4106 1.2638
Bi 6.9669 5.1305 2.0914
Bi 1.9958 3.8970 9.2830
Sb 4.3331 7.1031 6.2430
Sb 4.6296 1.9244 5.1314
Sb 0.0621 2.5894 4.3038
Sb 8.9006 6.4381 7.0705

19.
4
Lattice="-3.0764 -2.2888 -1.7263 0.8198 -2.4780 -3.2969 1.5134 -9.6016 4.9114" Properties=species:S:1:pos:R:3 comment="PBE-GGA SrBi2Sb, optimized geometry" mass_density_g_cm3=6.41 raw_formation_energy_ev_per_atom=0.105 magmom_total_mub_per_cell=0.0 pbc="T T T"
Sb -0.3716 -7.1842 -0.0559
Bi 0.7964 -7.0659 2.8273
Bi -1.5396 -7.3025 -2.9391
Sr 0.0000 0.0000 0.0000

20.
9
Lattice="4.3500 0.0000 1.0847 1.5251 7.9095 3.1487 -0.0436 0.1561 9.4398" Properties=species:S:1:pos:R:3 comment="PBE-GGA Sr3Bi2Sb4, optimized geometry" mass_density_g_cm3=6.00 raw_formation_energy_ev_per_atom=-0.570 magmom_total_mub_per_cell=0.0 pbc="T T T"
Sr 2.3554 4.5048 9.0839
Sr 0.0000 0.0000 0.0000
Sr 3.4762 3.5608 4.5893
Bi 2.9020 7.6249 6.8919
Bi 2.9296 0.4407 6.7813
Sb 1.7981 2.0742 2.0541
Sb 4.0335 5.9913 11.6191
Sb 0.6237 2.4946 6.7636
Sb 5.2078 5.5710 6.9096

21.
10
Lattice="6.2539 0.0000 0.0000 0.0000 6.2539 0.0000 -3.1270 -3.1270 11.0522" Properties=species:S:1:pos:R:3 comment="PBE-GGA SrBi3Sb, optimized geometry" mass_density_g_cm3=6.43 raw_formation_energy_ev_per_atom=-0.086 magmom_total_mub_per_cell=0.0 relative_energy_ev_per_atom=0.000 pbc="T T T"
Sr 3.1270 0.0000 0.9503
Sr 3.1270 0.0000 10.1019
Bi 1.5782 3.1270 8.1575
Bi 0.0000 4.7052 2.8947
Bi 0.0000 1.5487 2.8947
Bi -1.5782 3.1270 8.1575
Bi 0.0000 0.0000 8.2716
Bi 3.1270 3.1270 2.7806
Sb 0.0000 0.0000 0.0000
Sb 0.0000 3.1270 5.5261

22.
6
Lattice="-4.6190 -1.5389 0.3010 1.2992 -4.2075 -1.5742 3.7759 -1.9653 8.3691" Properties=species:S:1:pos:R:3 comment="PBE-GGA Sr3BiSb2, optimized geometry" mass_density_g_cm3=5.74 raw_formation_energy_ev_per_atom=-0.761 magmom_total_mub_per_cell=0.0 pbc="T T T"
Sr 0.9652 -1.8000 5.6077
Sr -1.8083 -1.7042 3.0625
Sr -1.6599 -2.8732 -0.6366
Bi 0.0000 0.0000 0.0000
Sb 1.0837 -2.9134 1.7353
Sb -0.6277 -4.7983 5.3607

23.
14
Lattice="8.1553 0.5174 3.2387 -4.5507 7.1628 2.2914 -0.3287 0.5174 8.7687" Properties=species:S:1:pos:R:3 comment="PBE-GGA Sr4Bi2Sb, optimized geometry" mass_density_g_cm3=5.65 raw_formation_energy_ev_per_atom=-0.928 magmom_total_mub_per_cell=0.0 pbc="T T T"
Sr 5.9010 0.7371 5.7233
Sr 3.6167 4.3129 6.8690
Sr -0.3254 1.9590 5.4440
Sr 1.2226 3.3057 9.8283
Sr -2.0362 6.5533 4.8287
Sr 5.2967 3.5700 11.4558
Sr 1.6376 5.5461 3.8328
Sr -2.2095 6.8063 9.2130
Bi -1.2837 3.7391 2.6670
Bi 4.3130 1.6068 8.8667
Bi 3.5041 6.1199 10.0124
Bi 0.0184 4.9295 7.0514
Sb 2.8578 2.1788 4.3843
Sb 0.0000 0.0000 0.0000

24.
18
Lattice="8.2560 0.0000 2.9969 0.0000 8.7897 0.0000 1.1732 0.0000 9.6385" Properties=species:S:1:pos:R:3 comment="PBE-GGA Sr5Bi2Sb2, optimized geometry" mass_density_g_cm3=5.46 raw_formation_energy_ev_per_atom=-0.949 magmom_total_mub_per_cell=0.0 pbc="T T T"
Sr 0.0000 0.0000 0.0000
Sr 4.1280 4.3948 1.4984
Sr 4.7553 1.4596 8.2997
Sr 7.5400 7.3301 9.3106
Sr 3.4120 5.8544 7.8121
Sr 8.8833 2.9352 9.7982
Sr 4.6740 7.3301 4.3356
Sr 1.8892 1.4596 3.3248
Sr 6.0172 2.9352 4.8232
Sr 0.5460 5.8544 2.8372
Bi 2.3555 0.0000 6.3814
Bi 6.4835 4.3948 7.8799
Bi 7.0737 0.0000 6.2539
Bi 2.9457 4.3948 4.7555
Sb 0.9825 3.3477 0.3566
Sb 7.2735 5.4420 2.6402
Sb 3.1455 7.7426 1.1418
Sb 5.1105 1.0471 1.8551